Below is Sc2InCuIr after structural relaxation, with properties calculated at the GGA-PBE level.

Its formation energy from the elements is 5.11 eV per formula unit. The magnetic moment is 0.00 μB/cell. Its density of states at the Fermi level is 5.02 states/eV/f.u. Its total DFT energy (no corrections) is -23.25 eV/cell.

The space group is P4/mmm (No. 123) and the conventional cell measures 5.2877, 5.2877 and 4.8293 Å, with angles of 90.00, 90.00 and 90.00 degrees. The distinct sites, in fractional coordinates, are Sc at (0.0000, 0.5000, 0.0000), In at (0.0000, 0.0000, 0.0000), Cu at (0.5000, 0.5000, 0.5000) and Ir at (0.0000, 0.0000, 0.5000).

=====

Below is Dy3Y2Tm5 after structural relaxation, with properties calculated at the GGA-PBE level.

Its formation energy from the elements is 3.58 eV per formula unit. The magnetic moment is 0.00 μB/cell. Its density of states at the Fermi level is 15.56 states/eV/f.u. Its total DFT energy (no corrections) is -182.04 eV/cell. As for the energy relative to the lowest polymorph listed for this composition: 154 meV per atom.

The space group is Ibam (No. 72) and the conventional cell measures 12.6737, 16.9558 and 6.1900 Å, with angles of 90.00, 90.00 and 90.00 degrees. The distinct sites, in fractional coordinates, are Dy at (0.0000, 0.0000, 0.2500), Dy at (0.1594, 0.2508, 0.0000), Y at (0.0999, 0.1568, 0.5000), Tm at (0.0000, 0.5000, 0.2500), Tm at (0.0990, 0.3447, 0.5000) and Tm at (0.2483, 0.5000, 0.2500).

=====

Question: magnetic moment of number 1 (Sc2InCuIr)?
Answer: 0.00 μB/cell

=====

Question: Which formula does entry 2 have?
Answer: Dy3Y2Tm5